1.
A geometry-optimized Pr2NdGa2Ag2 structure. Source: Alexandria via LeMat-Bulk, functional PBE-GGA.

Its crystal system is trigonal. The symmetry is R-3m, No. 166. The formation energy comes out at -0.3746 eV per atom.

a b c (Å): 9.681 9.681 9.681
angles (deg): 28.07 28.07 28.07
Sites, in units of the cell vectors:
1 Pr 0.126 0.126 0.126
2 Pr 0.874 0.874 0.874
3 Nd 0.000 0.000 0.000
4 Ga 0.262 0.262 0.262
5 Ga 0.738 0.738 0.738
6 Ag 0.397 0.397 0.397
7 Ag 0.603 0.603 0.603

***

2.
A geometry-optimized NdGa2AgPt5 structure. Source: Alexandria via LeMat-Bulk, functional PBE-GGA.

Its crystal system is tetragonal. The symmetry is P4/mmm, No. 123. The formation energy comes out at -0.5594 eV per atom.

a b c (Å): 4.127 4.127 9.654
angles (deg): 90.00 90.00 90.00
Sites, in units of the cell vectors:
1 Nd 0.000 0.000 0.000
2 Ga 0.500 0.500 0.374
3 Ga 0.500 0.500 0.626
4 Ag 0.000 0.000 0.500
5 Pt 0.000 0.500 0.229
6 Pt 0.000 0.500 0.771
7 Pt 0.500 0.000 0.229
8 Pt 0.500 0.000 0.771
9 Pt 0.500 0.500 0.000

***

3.
A geometry-optimized NdGa4AgPt2 structure. Source: Alexandria via LeMat-Bulk, functional PBE-GGA.

Its crystal system is trigonal. The symmetry is R-3m, No. 166. The formation energy comes out at -0.5592 eV per atom.

a b c (Å): 9.471 9.471 9.471
angles (deg): 26.37 26.37 26.37
Sites, in units of the cell vectors:
1 Nd 0.000 0.000 0.000
2 Ga 0.124 0.124 0.124
3 Ga 0.397 0.397 0.397
4 Ga 0.603 0.603 0.603
5 Ga 0.876 0.876 0.876
6 Ag 0.500 0.500 0.500
7 Pt 0.242 0.242 0.242
8 Pt 0.758 0.758 0.758

***

4.
A geometry-optimized NdGaAg2S4 structure. Source: Alexandria via LeMat-Bulk, functional PBE-GGA.

The calculation puts the uncorrected formation energy at -5.75 eV/f.u. Its crystal system is monoclinic. The symmetry is C2/c, No. 15.

a b c (Å): 7.753 7.753 7.597
angles (deg): 117.26 117.26 92.74
Sites, in units of the cell vectors:
1 Nd 0.000 0.500 0.000
2 Nd 0.500 0.000 0.500
3 Ga 0.000 0.000 0.000
4 Ga 0.000 0.000 0.500
5 Ag 0.000 0.500 0.500
6 Ag 0.500 0.000 0.000
7 Ag 0.500 0.500 0.000
8 Ag 0.500 0.500 0.500
9 S 0.213 0.770 0.498
10 S 0.227 0.234 0.428
11 S 0.230 0.787 0.002
12 S 0.234 0.227 0.928
13 S 0.766 0.773 0.072
14 S 0.770 0.213 0.998
15 S 0.773 0.766 0.572
16 S 0.787 0.230 0.502

***

Result set for V: 25.35, 18.27, 18.46, 21.32 Å³ per atom, one per record in the order listed.